Below is crystalline MgNpMnRu at its relaxed geometry, with properties calculated at the PBE-GGA level.

As for the crystal system: cubic. Its total moment is 0.95 Bohr magnetons per cell. For the formation energy from the elements, the calculation gives 0.08 eV per atom.

Lattice parameters (Å, degrees): 4.5749 4.5749 4.5749 60.00 60.00 60.00
Last column: nearest neighbours and their distance in Å.
Sites, in units of the cell vectors:
Np: 0.0000 0.0000 0.0000  4 Mn 2.80, 4 Ru 2.80
Ru: 0.7500 0.7500 0.7500  4 Mg 2.80, 4 Np 2.80
Mn: 0.2500 0.2500 0.2500  4 Mg 2.80, 4 Np 2.80
Mg: 0.5000 0.5000 0.5000  4 Ru 2.80, 4 Mn 2.80